1.
Entry from Alexandria: a relaxed ErCdAu crystal (PBE).

ΔH_f (0 K): -0.352 eV per atom

a = 9.375 Å, b = 11.318 Å, c = 12.838 Å
α = 90.00°, β = 90.00°, γ = 90.00°
Space group Fddd (No. 70, origin choice 2)
Asymmetric unit:
Er1 0.125 0.125 0.267 x16
Cd1 0.000 0.000 0.500 x16
Au1 0.125 0.320 0.125 x16

=====

2.
Entry from Alexandria: a relaxed Ca2CdPd5Pt2 crystal (PBE).

ΔH_f (0 K): -0.502 eV per atom

a = 9.507 Å, b = 9.507 Å, c = 4.175 Å
α = 90.00°, β = 90.00°, γ = 90.00°
Space group P4/mbm (No. 127)
Asymmetric unit:
Ca1 0.171 0.329 0.000 x4
Cd1 0.000 0.000 0.000 x2
Pd1 0.000 0.500 0.500 x2
Pd2 0.068 0.799 0.500 x8
Pt1 0.126 0.626 0.000 x4

=====

3.
Entry from Alexandria: a relaxed ThCuPt crystal (PBE).

ΔH_f (0 K): -0.762 eV per atom

a = 4.4124 Å, b = 4.4124 Å, c = 3.7101 Å
α = 90.00°, β = 90.00°, γ = 120.00°
Space group P-6m2 (No. 187)
Asymmetric unit:
Th1 0.0000 0.0000 0.0000 x1
Cu1 0.6667 0.3333 0.5000 x1
Pt1 0.3333 0.6667 0.5000 x1

=====

4.
Entry from Alexandria: a relaxed Fe2IrRh8 crystal (PBE).

ΔH_f (0 K): 0.183 eV per atom

a = 7.875 Å, b = 10.094 Å, c = 4.001 Å
α = 90.00°, β = 90.00°, γ = 90.00°
Space group Cmmm (No. 65)
Asymmetric unit:
Fe1 0.000 0.115 0.000 x4
Ir1 0.000 0.500 0.500 x2
Rh1 0.000 0.242 0.500 x4
Rh2 0.165 0.000 0.500 x4
Rh3 0.170 0.367 0.000 x8

=====

5.
Entry from Alexandria: a relaxed Li2Nd3Hg3 crystal (PBE).

ΔH_f (0 K): -0.325 eV per atom

a = 3.879 Å, b = 5.255 Å, c = 20.331 Å
α = 90.00°, β = 90.00°, γ = 90.00°
Space group Immm (No. 71)
Asymmetric unit:
Li1 0.000 0.000 0.241 x4
Nd1 0.000 0.000 0.000 x2
Nd2 0.000 0.500 0.128 x4
Hg1 0.000 0.000 0.500 x2
Hg2 0.000 0.500 0.353 x4

=====

6.
Entry from Alexandria: a relaxed Ta2TlBr2 crystal (PBE).

Energy relative to the elements, uncorrected: 759 meV/atom

a = 8.369 Å, b = 8.369 Å, c = 3.179 Å
α = 90.00°, β = 90.00°, γ = 90.00°
Space group P4/mbm (No. 127)
Asymmetric unit:
Ta1 0.116 0.384 0.000 x4
Tl1 0.000 0.000 0.000 x2
Br1 0.149 0.649 0.500 x4

=====

7.
Entry from Alexandria: a relaxed AlOs2Pt crystal (PBE).

ΔH_f (0 K): -0.076 eV per atom

a = 2.822 Å, b = 4.278 Å, c = 9.790 Å
α = 90.00°, β = 90.00°, γ = 90.00°
Space group Immm (No. 71)
Asymmetric unit:
Al1 0.000 0.000 0.000 x2
Os1 0.000 0.500 0.286 x4
Pt1 0.000 0.000 0.500 x2

=====

8.
Entry from Alexandria: a relaxed BaW3Se crystal (PBE).

Energy relative to the elements, uncorrected: 1639 meV/atom

a = 4.830 Å, b = 4.830 Å, c = 4.830 Å
α = 90.00°, β = 90.00°, γ = 90.00°
Space group Pm-3m (No. 221)
Asymmetric unit:
Ba1 0.000 0.000 0.000 x1
W1 0.000 0.500 0.500 x3
Se1 0.500 0.500 0.500 x1

=====

Question: Number 5 is which compound?
Answer: Li2Nd3Hg3